Entry from Alexandria via LeMat-Bulk: a geometry-optimized ZrGaCoRe2 structure (GGA-PBE).

The calculation puts the uncorrected energy at -40.0 eV/cell. For the magnetic moment, the calculation gives 0.00 μB per cell. As for the formation energy from the elements: 0.72 eV per atom.

The space group is P4/mmm (No. 123) and the conventional cell measures 4.513, 4.513 and 4.296 Å, with angles of 90.00, 90.00 and 90.00 degrees. The distinct sites, in fractional coordinates, are Zr at (0.000, 0.000, 0.000), Ga at (0.500, 0.500, 0.000), Co at (0.500, 0.500, 0.500) and Re at (0.000, 0.500, 0.500).